# 1
{
  "formula": "TmTeP",
  "functional": "PBE",
  "state": "optimized geometry",
  "magmom_total_mub_per_fu": 0.00,
  "dos_ef_per_ev_cell": 2.57,
  "dft_energy_ry_per_atom": -0.396,
  "raw_formation_energy_ev_per_atom": -1.051,
  "cell": [[4.002, 0.000, 0.000], [0.000, 3.927, 0.000], [-0.416, 0.000, 9.016]],
  "species": ["Tm", "Tm", "Te", "Te", "P", "P"],
  "fractional_positions": [[0.227, 0.250, 0.239], [0.773, 0.750, 0.761], [0.256, 0.250, 0.630], [0.744, 0.750, 0.370], [0.330, 0.750, 0.992], [0.670, 0.250, 0.008]]
}

=====

# 2
{
  "formula": "Tm4TeP",
  "functional": "PBE",
  "state": "optimized geometry",
  "magmom_total_mub_per_fu": 0.00,
  "dos_ef_per_ev_cell": 10.00,
  "dft_energy_ry_per_atom": -0.375,
  "raw_formation_energy_ev_per_atom": -0.690,
  "cell": [[-4.691, 4.691, 4.131], [4.691, -4.691, 4.131], [4.691, 4.691, -4.131]],
  "species": ["Tm", "Tm", "Tm", "Tm", "Tm", "Tm", "Tm", "Tm", "Te", "Te", "P", "P"],
  "fractional_positions": [[0.141, 0.449, 0.693], [0.199, 0.006, 0.807], [0.199, 0.391, 0.193], [0.282, 0.000, 0.282], [0.718, 0.000, 0.718], [0.750, 0.532, 0.782], [0.750, 0.968, 0.218], [0.756, 0.449, 0.307], [0.239, 0.739, 0.500], [0.489, 0.489, 0.000], [0.711, 0.211, 0.500], [0.961, 0.961, 0.000]]
}

=====

# 3
{
  "formula": "Tm6TeP5",
  "functional": "PBE",
  "state": "optimized geometry",
  "magmom_total_mub_per_fu": 0.00,
  "dos_ef_per_ev_cell": 2.40,
  "dft_energy_ry_per_atom": -0.465,
  "raw_formation_energy_ev_per_atom": -1.570,
  "cell": [[3.476, -6.006, 0.000], [3.476, 6.006, 0.000], [-2.324, 0.000, 6.543]],
  "species": ["Tm", "Tm", "Tm", "Tm", "Tm", "Tm", "Te", "P", "P", "P", "P", "P"],
  "fractional_positions": [[0.059, 0.413, 0.740], [0.234, 0.234, 0.259], [0.413, 0.059, 0.740], [0.587, 0.941, 0.260], [0.766, 0.766, 0.741], [0.941, 0.587, 0.260], [0.500, 0.500, 0.000], [0.000, 0.000, 0.500], [0.167, 0.833, 0.000], [0.339, 0.661, 0.500], [0.661, 0.339, 0.500], [0.833, 0.167, 0.000]]
}

=====

# 4
{
  "formula": "Tm2TeP",
  "functional": "PBE",
  "state": "optimized geometry",
  "magmom_total_mub_per_fu": 0.00,
  "dos_ef_per_ev_cell": 4.17,
  "dft_energy_ry_per_atom": -0.432,
  "raw_formation_energy_ev_per_atom": -1.503,
  "polymorph_energy_ev_per_fu": 0.000,
  "cell": [[4.058, 0.000, 0.000], [-2.029, 3.514, 0.000], [0.000, 0.000, 20.890]],
  "species": ["Tm", "Tm", "Tm", "Tm", "Tm", "Tm", "Te", "Te", "Te", "P", "P", "P"],
  "fractional_positions": [[0.000, 0.000, 0.236], [0.000, 0.000, 0.764], [0.333, 0.667, 0.431], [0.333, 0.667, 0.903], [0.667, 0.333, 0.097], [0.667, 0.333, 0.569], [0.000, 0.000, 0.000], [0.333, 0.667, 0.667], [0.667, 0.333, 0.333], [0.000, 0.000, 0.500], [0.333, 0.667, 0.167], [0.667, 0.333, 0.833]]
}

=====

# 5
{
  "formula": "Tm3TeP2",
  "functional": "PBE",
  "state": "optimized geometry",
  "magmom_total_mub_per_fu": 0.00,
  "dos_ef_per_ev_cell": 6.46,
  "dft_energy_ry_per_atom": -0.415,
  "raw_formation_energy_ev_per_atom": -1.090,
  "cell": [[-3.585, 5.640, 4.056], [3.585, -5.640, 4.056], [3.585, 5.640, -4.056]],
  "species": ["Tm", "Tm", "Tm", "Tm", "Tm", "Tm", "Te", "Te", "P", "P", "P", "P"],
  "fractional_positions": [[0.000, 0.232, 0.232], [0.000, 0.768, 0.768], [0.500, 0.000, 0.000], [0.500, 0.232, 0.732], [0.500, 0.500, 0.500], [0.500, 0.768, 0.268], [0.164, 0.914, 0.250], [0.836, 0.086, 0.750], [0.279, 0.716, 0.563], [0.348, 0.284, 0.063], [0.652, 0.716, 0.937], [0.721, 0.284, 0.437]]
}

=====

# 6
{
  "formula": "Tm2TeP",
  "functional": "PBE",
  "state": "optimized geometry",
  "magmom_total_mub_per_fu": 0.00,
  "dos_ef_per_ev_cell": 7.19,
  "dft_energy_ry_per_atom": -0.430,
  "raw_formation_energy_ev_per_atom": -1.475,
  "polymorph_energy_ev_per_fu": 0.112,
  "cell": [[4.017, 0.000, 0.000], [-2.008, 3.479, 0.000], [0.000, 0.000, 21.391]],
  "species": ["Tm", "Tm", "Tm", "Tm", "Tm", "Tm", "Te", "Te", "Te", "P", "P", "P"],
  "fractional_positions": [[0.000, 0.000, 0.000], [0.000, 0.000, 0.195], [0.333, 0.667, 0.667], [0.333, 0.667, 0.861], [0.667, 0.333, 0.333], [0.667, 0.333, 0.528], [0.000, 0.000, 0.430], [0.333, 0.667, 0.097], [0.667, 0.333, 0.763], [0.000, 0.000, 0.599], [0.333, 0.667, 0.266], [0.667, 0.333, 0.933]]
}

=====

# 7
{
  "formula": "YTmTeP",
  "functional": "PBE",
  "state": "optimized geometry",
  "magmom_total_mub_per_fu": 0.00,
  "dos_ef_per_ev_cell": 7.71,
  "dft_energy_ry_per_atom": -0.469,
  "raw_formation_energy_ev_per_atom": -1.515,
  "cell": [[4.052, 0.000, 0.000], [-2.026, 3.509, 0.000], [0.000, 0.000, 21.521]],
  "species": ["Y", "Y", "Y", "Tm", "Tm", "Tm", "Te", "Te", "Te", "P", "P", "P"],
  "fractional_positions": [[0.000, 0.000, 0.000], [0.333, 0.667, 0.667], [0.667, 0.333, 0.333], [0.000, 0.000, 0.806], [0.333, 0.667, 0.472], [0.667, 0.333, 0.139], [0.000, 0.000, 0.235], [0.333, 0.667, 0.901], [0.667, 0.333, 0.568], [0.000, 0.000, 0.407], [0.333, 0.667, 0.073], [0.667, 0.333, 0.740]]
}

=====

# 8
{
  "formula": "Tm4ZnTe2P",
  "functional": "PBE",
  "state": "optimized geometry",
  "magmom_total_mub_per_fu": 0.00,
  "dos_ef_per_ev_cell": 4.92,
  "dft_energy_ry_per_atom": -0.363,
  "raw_formation_energy_ev_per_atom": -1.076,
  "cell": [[7.285, 0.000, 0.000], [0.000, 4.044, 0.000], [-2.260, 0.000, 6.956]],
  "species": ["Tm", "Tm", "Tm", "Tm", "Zn", "Te", "Te", "P"],
  "fractional_positions": [[0.214, 0.000, 0.232], [0.221, 0.500, 0.746], [0.779, 0.500, 0.254], [0.786, 0.000, 0.768], [0.000, 0.000, 0.500], [0.500, 0.000, 0.000], [0.500, 0.500, 0.500], [0.000, 0.500, 0.000]]
}

=====

# 9
{
  "formula": "UTeP",
  "functional": "PBE",
  "state": "optimized geometry",
  "magmom_total_mub_per_fu": 0.34,
  "dos_ef_per_ev_cell": 17.51,
  "dft_energy_ry_per_atom": -0.497,
  "raw_formation_energy_ev_per_atom": -0.151,
  "cell": [[5.380, 0.000, 0.000], [0.000, 5.419, 0.000], [-0.907, 0.000, 11.627]],
  "species": ["U", "U", "U", "U", "Te", "Te", "Te", "Te", "P", "P", "P", "P"],
  "fractional_positions": [[0.065, 0.000, 0.053], [0.410, 0.000, 0.929], [0.590, 0.500, 0.071], [0.935, 0.500, 0.947], [0.119, 0.500, 0.206], [0.398, 0.500, 0.804], [0.602, 0.000, 0.196], [0.881, 0.000, 0.794], [0.172, 0.816, 0.466], [0.173, 0.207, 0.468], [0.827, 0.707, 0.532], [0.828, 0.316, 0.534]]
}

=====

# 10
{
  "formula": "UTe2P",
  "functional": "PBE",
  "state": "optimized geometry",
  "magmom_total_mub_per_fu": 3.14,
  "dos_ef_per_ev_cell": 24.49,
  "dft_energy_ry_per_atom": -0.384,
  "raw_formation_energy_ev_per_atom": 0.514,
  "cell": [[3.710, 0.000, 0.000], [-1.855, 3.213, 0.000], [0.000, 0.000, 28.360]],
  "species": ["U", "U", "U", "Te", "Te", "Te", "Te", "Te", "Te", "P", "P", "P"],
  "fractional_positions": [[0.000, 0.000, 0.000], [0.333, 0.667, 0.667], [0.667, 0.333, 0.333], [0.000, 0.000, 0.107], [0.000, 0.000, 0.893], [0.333, 0.667, 0.560], [0.333, 0.667, 0.773], [0.667, 0.333, 0.227], [0.667, 0.333, 0.440], [0.000, 0.000, 0.500], [0.333, 0.667, 0.167], [0.667, 0.333, 0.833]]
}

=====

# 11
{
  "formula": "U2TeP",
  "functional": "PBE",
  "state": "optimized geometry",
  "magmom_total_mub_per_fu": 5.82,
  "dos_ef_per_ev_cell": 22.77,
  "dft_energy_ry_per_atom": -0.614,
  "raw_formation_energy_ev_per_atom": -0.573,
  "polymorph_energy_ev_per_fu": 0.630,
  "cell": [[3.987, 0.000, 0.000], [0.000, 7.195, 0.000], [0.000, 0.000, 7.270]],
  "species": ["U", "U", "U", "U", "Te", "Te", "P", "P"],
  "fractional_positions": [[0.250, 0.000, 0.205], [0.250, 0.500, 0.205], [0.750, 0.000, 0.795], [0.750, 0.500, 0.795], [0.250, 0.250, 0.567], [0.750, 0.750, 0.433], [0.250, 0.750, 0.906], [0.750, 0.250, 0.094]]
}

=====

# 12
{
  "formula": "UTeP",
  "functional": "PBE",
  "state": "optimized geometry",
  "magmom_total_mub_per_fu": 1.69,
  "dos_ef_per_ev_cell": 20.38,
  "dft_energy_ry_per_atom": -0.541,
  "raw_formation_energy_ev_per_atom": -0.743,
  "cell": [[4.084, 0.000, 0.000], [0.000, 4.084, 0.000], [0.000, 0.000, 16.813]],
  "species": ["U", "U", "U", "U", "Te", "Te", "Te", "Te", "P", "P", "P", "P"],
  "fractional_positions": [[0.000, 0.000, 0.109], [0.000, 0.000, 0.891], [0.500, 0.500, 0.391], [0.500, 0.500, 0.609], [0.000, 0.000, 0.316], [0.000, 0.000, 0.684], [0.500, 0.500, 0.184], [0.500, 0.500, 0.816], [0.000, 0.500, 0.000], [0.000, 0.500, 0.500], [0.500, 0.000, 0.000], [0.500, 0.000, 0.500]]
}